Record 1
# PBE SrRu2F11, relaxed
# - Formation energy from raw total energies: -2.2001 eV/atom
data_SrRu2F11
_cell_length_a 8.403
_cell_length_b 8.403
_cell_length_c 8.403
_cell_angle_alpha 114.44
_cell_angle_beta 114.19
_cell_angle_gamma 100.16
_space_group_name_H-M_alt 'P 1'
_space_group_IT_number 1
_space_group_name_Hall 'P 1'
loop_
_atom_site_label
_atom_site_type_symbol
_atom_site_fract_x
_atom_site_fract_y
_atom_site_fract_z
Sr1 Sr 0.250 0.250 0.000
Sr2 Sr 0.750 0.750 0.000
Ru1 Ru 0.158 0.657 0.815
Ru2 Ru 0.342 0.157 0.500
Ru3 Ru 0.658 0.843 0.500
Ru4 Ru 0.842 0.343 0.185
F1 F 0.000 0.500 0.500
F2 F 0.070 0.360 0.178
F3 F 0.108 0.929 0.289
F4 F 0.140 0.429 0.821
F5 F 0.182 0.892 0.822
F6 F 0.198 0.301 0.499
F7 F 0.302 0.801 0.103
F8 F 0.318 0.140 0.710
F9 F 0.360 0.181 0.289
F10 F 0.392 0.681 0.821
F11 F 0.430 0.608 0.290
F12 F 0.500 0.000 0.500
F13 F 0.570 0.392 0.710
F14 F 0.608 0.319 0.179
F15 F 0.640 0.819 0.711
F16 F 0.682 0.860 0.290
F17 F 0.698 0.199 0.897
F18 F 0.802 0.699 0.501
F19 F 0.818 0.108 0.178
F20 F 0.860 0.571 0.179
F21 F 0.892 0.071 0.711
F22 F 0.930 0.640 0.822

***

Record 2
# PBE Mo2Ru, relaxed
# - Offset from the most stable computed form: 0.316 eV/atom
# - Formation energy from the elements: 324 meV per atom
data_Mo2Ru
_cell_length_a 5.119
_cell_length_b 5.119
_cell_length_c 5.119
_cell_angle_alpha 60.00
_cell_angle_beta 60.00
_cell_angle_gamma 60.00
_space_group_name_H-M_alt 'P 1'
_space_group_IT_number 1
_space_group_name_Hall 'P 1'
loop_
_atom_site_label
_atom_site_type_symbol
_atom_site_fract_x
_atom_site_fract_y
_atom_site_fract_z
Mo1 Mo 0.000 0.000 0.000
Mo2 Mo 0.000 0.000 0.500
Mo3 Mo 0.000 0.500 0.000
Mo4 Mo 0.500 0.000 0.000
Ru1 Ru 0.375 0.375 0.375
Ru2 Ru 0.625 0.625 0.625